No. 1
A relaxed structure of Ce4Sc3PaAs8, computed with PBE.

## Properties
- DFT total energy (eV/atom) = -6.933
- size of the total moment (μB/f.u.) = 3.11
- ΔH_f (0 K) (eV per atom) = -1.3445

The structure in CIF format:
```
data_Ce4Sc3PaAs8
_cell_length_a 8.1596
_cell_length_b 8.1596
_cell_length_c 20.0189
_cell_angle_alpha 90.00
_cell_angle_beta 90.00
_cell_angle_gamma 120.00
_space_group_name_H-M_alt 'R -3 m'
_space_group_IT_number 166
_space_group_name_Hall '-R 3 2"'
loop_
_atom_site_label
_atom_site_type_symbol
_atom_site_fract_x
_atom_site_fract_y
_atom_site_fract_z
Ce1 Ce 0.0000 0.0000 0.0000
Ce2 Ce 0.0000 0.5000 0.0000
Sc1 Sc 0.0000 0.5000 0.5000
Pa1 Pa 0.0000 0.0000 0.5000
As1 As 0.0000 0.0000 0.2437
As2 As 0.0057 0.5029 0.7559
```

---

No. 2
A relaxed structure of Ho8GeBi2, computed with PBE.

## Properties
- DFT total energy (eV/atom) = -4.850
- size of the total moment (μB/f.u.) = 0.00
- ΔH_f (0 K) (eV per atom) = -0.3957

The structure in CIF format:
```
data_Ho8GeBi2
_cell_length_a 18.322
_cell_length_b 4.973
_cell_length_c 6.997
_cell_angle_alpha 90.00
_cell_angle_beta 91.15
_cell_angle_gamma 90.00
_space_group_name_H-M_alt 'C 1 2/m 1'
_space_group_IT_number 12
loop_
_space_group_symop_operation_xyz
'x,y,z'
'-x,-y,-z'
'-x,y,-z'
'x,-y,z'
'x+1/2,y+1/2,z'
'-x+1/2,-y+1/2,-z'
'-x+1/2,y+1/2,-z'
'x+1/2,-y+1/2,z'
loop_
_atom_site_label
_atom_site_type_symbol
_atom_site_fract_x
_atom_site_fract_y
_atom_site_fract_z
Ho1 Ho 0.022 0.000 0.259
Ho2 Ho 0.093 0.500 0.944
Ho3 Ho 0.152 0.500 0.422
Ho4 Ho 0.217 0.000 0.139
Ge1 Ge 0.000 0.500 0.500
Bi1 Bi 0.172 0.000 0.690
```

---

No. 3
A relaxed structure of KTaBe2, computed with PBE.

## Properties
- DFT total energy (eV/atom) = -4.436
- size of the total moment (μB/f.u.) = 0.00
- ΔH_f (0 K) (eV per atom) = 0.6645
- E above lowest polymorph (meV per atom) = 0

The structure in CIF format:
```
data_KTaBe2
_cell_length_a 2.836
_cell_length_b 2.836
_cell_length_c 8.598
_cell_angle_alpha 90.00
_cell_angle_beta 90.00
_cell_angle_gamma 90.00
_space_group_name_H-M_alt 'P 4 m m'
_space_group_IT_number 99
loop_
_space_group_symop_operation_xyz
'x,y,z'
'-y,x,z'
'-x,-y,z'
'y,-x,z'
'-x,y,z'
'y,x,z'
'x,-y,z'
'-y,-x,z'
loop_
_atom_site_label
_atom_site_type_symbol
_atom_site_fract_x
_atom_site_fract_y
_atom_site_fract_z
K1 K 0.000 0.000 0.000
Ta1 Ta 0.500 0.500 0.376
Be1 Be 0.000 0.000 0.574
Be2 Be 0.500 0.500 0.681
```

---

No. 4
A relaxed structure of Ho4Er3Tm2, computed with PBE.

## Properties
- DFT total energy (eV/atom) = -4.445
- size of the total moment (μB/f.u.) = 0.00
- ΔH_f (0 K) (eV per atom) = 0.1038

The structure in CIF format:
```
data_Ho4Er3Tm2
_cell_length_a 15.928
_cell_length_b 11.426
_cell_length_c 6.057
_cell_angle_alpha 90.00
_cell_angle_beta 95.86
_cell_angle_gamma 90.00
_space_group_name_H-M_alt 'C 1 2/c 1'
_space_group_IT_number 15
loop_
_space_group_symop_operation_xyz
'x,y,z'
'-x,-y,-z'
'-x,y,-z+1/2'
'x,-y,z+1/2'
'x+1/2,y+1/2,z'
'-x+1/2,-y+1/2,-z'
'-x+1/2,y+1/2,-z+1/2'
'x+1/2,-y+1/2,z+1/2'
loop_
_atom_site_label
_atom_site_type_symbol
_atom_site_fract_x
_atom_site_fract_y
_atom_site_fract_z
Ho1 Ho 0.046 0.142 0.013
Ho2 Ho 0.212 0.357 0.846
Er1 Er 0.000 0.403 0.750
Er2 Er 0.167 0.097 0.580
Tm1 Tm 0.120 0.358 0.319
```

---

No. 5
A relaxed structure of Dy2Ga2CuNi5, computed with PBE.

## Properties
- DFT total energy (eV/atom) = -5.101
- size of the total moment (μB/f.u.) = 0.00
- ΔH_f (0 K) (eV per atom) = -0.2746

The structure in CIF format:
```
data_Dy2Ga2CuNi5
_cell_length_a 9.492
_cell_length_b 9.492
_cell_length_c 3.375
_cell_angle_alpha 90.00
_cell_angle_beta 90.00
_cell_angle_gamma 90.00
_space_group_name_H-M_alt 'P 4/m b m'
_space_group_IT_number 127
_space_group_name_Hall '-P 4 2ab'
loop_
_atom_site_label
_atom_site_type_symbol
_atom_site_fract_x
_atom_site_fract_y
_atom_site_fract_z
Dy1 Dy 0.175 0.325 0.000
Ga1 Ga 0.124 0.624 0.000
Cu1 Cu 0.000 0.000 0.000
Ni1 Ni 0.000 0.500 0.500
Ni2 Ni 0.055 0.804 0.500
```

---

No. 6
A relaxed structure of Ba3LaZr2O9, computed with PBE.

## Properties
- DFT total energy (eV/atom) = -7.813
- size of the total moment (μB/f.u.) = 0.99

The structure in CIF format:
```
data_Ba3LaZr2O9
_cell_length_a 6.1844
_cell_length_b 6.1844
_cell_length_c 7.7005
_cell_angle_alpha 90.00
_cell_angle_beta 90.00
_cell_angle_gamma 120.00
_space_group_name_H-M_alt 'P -3 m 1'
_space_group_IT_number 164
_space_group_name_Hall '-P 3 2"'
loop_
_atom_site_label
_atom_site_type_symbol
_atom_site_fract_x
_atom_site_fract_y
_atom_site_fract_z
Ba1 Ba 0.0000 0.0000 0.0000
Ba2 Ba 0.3333 0.6667 0.6851
La1 La 0.0000 0.0000 0.5000
Zr1 Zr 0.3333 0.6667 0.1617
O1 O 0.0000 0.5000 0.0000
O2 O 0.1736 0.3473 0.3134
```

---

No. 7
A relaxed structure of GdYPb2, computed with PBE.

## Properties
- DFT total energy (eV/atom) = -7.473
- size of the total moment (μB/f.u.) = 7.95
- ΔH_f (0 K) (eV per atom) = -0.4828

The structure in CIF format:
```
data_GdYPb2
_cell_length_a 5.044
_cell_length_b 5.044
_cell_length_c 4.475
_cell_angle_alpha 90.00
_cell_angle_beta 90.00
_cell_angle_gamma 90.00
_space_group_name_H-M_alt 'P 4/m m m'
_space_group_IT_number 123
_space_group_name_Hall '-P 4 2'
loop_
_atom_site_label
_atom_site_type_symbol
_atom_site_fract_x
_atom_site_fract_y
_atom_site_fract_z
Gd1 Gd 0.000 0.000 0.000
Y1 Y 0.500 0.500 0.000
Pb1 Pb 0.000 0.500 0.500
```

---

No. 8
A relaxed structure of CeHoTlCu, computed with PBE.

## Properties
- DFT total energy (eV/atom) = -4.373
- size of the total moment (μB/f.u.) = 1.21
- ΔH_f (0 K) (eV per atom) = -0.1299

The structure in CIF format:
```
data_CeHoTlCu
_cell_length_a 7.410
_cell_length_b 7.410
_cell_length_c 7.410
_cell_angle_alpha 90.00
_cell_angle_beta 90.00
_cell_angle_gamma 90.00
_space_group_name_H-M_alt 'F -4 3 m'
_space_group_IT_number 216
_space_group_name_Hall 'F -4 2 3'
loop_
_atom_site_label
_atom_site_type_symbol
_atom_site_fract_x
_atom_site_fract_y
_atom_site_fract_z
Ce1 Ce 0.000 0.000 0.000
Ho1 Ho 0.000 0.000 0.500
Tl1 Tl 0.250 0.250 0.250
Cu1 Cu 0.250 0.250 0.750
```

---

No. 9
A relaxed structure of MnTc3Pt, computed with PBE.

## Properties
- DFT total energy (eV/atom) = -8.156
- size of the total moment (μB/f.u.) = 0.00
- ΔH_f (0 K) (eV per atom) = 1.1052
- E above lowest polymorph (meV per atom) = 0

The structure in CIF format:
```
data_MnTc3Pt
_cell_length_a 4.353
_cell_length_b 4.353
_cell_length_c 4.353
_cell_angle_alpha 90.00
_cell_angle_beta 90.00
_cell_angle_gamma 90.00
_space_group_name_H-M_alt 'P m -3 m'
_space_group_IT_number 221
_space_group_name_Hall '-P 4 2 3'
loop_
_atom_site_label
_atom_site_type_symbol
_atom_site_fract_x
_atom_site_fract_y
_atom_site_fract_z
Mn1 Mn 0.000 0.000 0.000
Tc1 Tc 0.000 0.000 0.500
Pt1 Pt 0.500 0.500 0.500
```

---

No. 10
A relaxed structure of Mg2AlHAu, computed with PBE.

## Properties
- DFT total energy (eV/atom) = -2.888
- size of the total moment (μB/f.u.) = 0.00

The structure in CIF format:
```
data_Mg2AlHAu
_cell_length_a 4.294
_cell_length_b 4.294
_cell_length_c 4.029
_cell_angle_alpha 90.00
_cell_angle_beta 90.00
_cell_angle_gamma 90.00
_space_group_name_H-M_alt 'P 4/m m m'
_space_group_IT_number 123
_space_group_name_Hall '-P 4 2'
loop_
_atom_site_label
_atom_site_type_symbol
_atom_site_fract_x
_atom_site_fract_y
_atom_site_fract_z
Mg1 Mg 0.000 0.500 0.000
Al1 Al 0.000 0.000 0.500
H1 H 0.000 0.000 0.000
Au1 Au 0.500 0.500 0.500
```

---

No. 11
A relaxed structure of Ce5Pa3S8, computed with PBE.

## Properties
- DFT total energy (eV/atom) = -7.563
- size of the total moment (μB/f.u.) = 2.54

The structure in CIF format:
```
data_Ce5Pa3S8
_cell_length_a 7.9023
_cell_length_b 7.9023
_cell_length_c 19.5792
_cell_angle_alpha 90.00
_cell_angle_beta 90.00
_cell_angle_gamma 120.00
_space_group_name_H-M_alt 'R -3 m'
_space_group_IT_number 166
_space_group_name_Hall '-R 3 2"'
loop_
_atom_site_label
_atom_site_type_symbol
_atom_site_fract_x
_atom_site_fract_y
_atom_site_fract_z
Ce1 Ce 0.0000 0.0000 0.0000
Ce2 Ce 0.0000 0.0000 0.5000
Ce3 Ce 0.0000 0.5000 0.0000
Pa1 Pa 0.0000 0.5000 0.5000
S1 S 0.0000 0.0000 0.2477
S2 S 0.0034 0.5017 0.7517
```

---

No. 12
A relaxed structure of Ba3InAg2, computed with PBE.

## Properties
- DFT total energy (eV/atom) = -2.657
- size of the total moment (μB/f.u.) = 0.00
- ΔH_f (0 K) (eV per atom) = -0.2886

The structure in CIF format:
```
data_Ba3InAg2
_cell_length_a 4.149
_cell_length_b 4.149
_cell_length_c 12.721
_cell_angle_alpha 90.00
_cell_angle_beta 90.00
_cell_angle_gamma 90.00
_space_group_name_H-M_alt 'P 4/m m m'
_space_group_IT_number 123
_space_group_name_Hall '-P 4 2'
loop_
_atom_site_label
_atom_site_type_symbol
_atom_site_fract_x
_atom_site_fract_y
_atom_site_fract_z
Ba1 Ba 0.000 0.000 0.000
Ba2 Ba 0.000 0.000 0.327
In1 In 0.500 0.500 0.500
Ag1 Ag 0.500 0.500 0.162
```

---

No. 13
A relaxed structure of LiReIO2, computed with PBE.

## Properties
- DFT total energy (eV/atom) = -4.263
- size of the total moment (μB/f.u.) = 1.65
- E above lowest polymorph (meV per atom) = 1912

The structure in CIF format:
```
data_LiReIO2
_cell_length_a 3.933
_cell_length_b 3.933
_cell_length_c 4.922
_cell_angle_alpha 90.00
_cell_angle_beta 90.00
_cell_angle_gamma 90.00
_space_group_name_H-M_alt 'P 4/m m m'
_space_group_IT_number 123
_space_group_name_Hall '-P 4 2'
loop_
_atom_site_label
_atom_site_type_symbol
_atom_site_fract_x
_atom_site_fract_y
_atom_site_fract_z
Li1 Li 0.000 0.000 0.000
Re1 Re 0.500 0.500 0.500
I1 I 0.000 0.000 0.500
O1 O 0.000 0.500 0.000
```